The following is a DFT calculation (GGA-PBE) of a geometry-optimized LaAl2Zn9 structure. Values from VASP.

```
&SYSTEM
  ibrav = 0, nat = 12, ntyp = 3
/
ATOMIC_SPECIES
La 138.91 La.upf
Al 26.98 Al.upf
Zn 65.41 Zn.upf
ATOMIC_POSITIONS crystal
La 0.000 0.000 0.000
Al 0.333 0.667 0.000
Al 0.667 0.333 0.000
Zn 0.000 0.500 0.000
Zn 0.187 0.374 0.500
Zn 0.187 0.813 0.500
Zn 0.374 0.187 0.500
Zn 0.500 0.000 0.000
Zn 0.500 0.500 0.000
Zn 0.626 0.813 0.500
Zn 0.813 0.187 0.500
Zn 0.813 0.626 0.500
CELL_PARAMETERS angstrom
8.599 0.000 0.000
-4.300 7.447 0.000
0.000 0.000 3.398
```

Properties
- DFT total energy (eV per cell) = -24.20
- DFT formation energy (eV/atom) = -0.027

The following is a DFT calculation (GGA-PBE) of a geometry-optimized Ca2Si2Au5 structure. Values from VASP.

```
&SYSTEM
  ibrav = 0, nat = 9, ntyp = 3
/
ATOMIC_SPECIES
Ca 40.08 Ca.upf
Si 28.09 Si.upf
Au 196.97 Au.upf
ATOMIC_POSITIONS crystal
Ca 0.000 0.000 0.000
Ca 0.000 0.000 0.500
Si 0.500 0.500 0.138
Si 0.500 0.500 0.862
Au 0.000 0.500 0.260
Au 0.000 0.500 0.740
Au 0.500 0.000 0.260
Au 0.500 0.000 0.740
Au 0.500 0.500 0.500
CELL_PARAMETERS angstrom
4.541 0.000 0.000
0.000 4.541 0.000
0.000 0.000 8.712
```

Properties
- DFT total energy (eV per cell) = -35.84

Number 1: size of the total moment 0.00 μB per cell. Number 2: size of the total moment 0.00 μB per cell.